Entry 1:
Material: SiIrPt2
Method: DFT, PBE-GGA
State: optimized geometry

abc: 2.8837 3.9156 5.4181
angles: 90.00 103.37 90.00
Positions (direct):
Si 0.0000 0.0000 0.0000
Ir 0.0000 0.0000 0.5000
Pt 0.3682 0.5000 0.2324
Pt 0.6318 0.5000 0.7676

Properties
* VASP energy: -6.7683 eV per atom
* DOS(E_F): 2.662 states/eV per cell
* density: 17.03 Mg/m³
* E_form (uncorrected): -177 meV/atom
* volume: 14.880 Å³/atom
* crystal system: monoclinic

***

Entry 2:
Material: Si2Ir2Pt
Method: DFT, PBE-GGA
State: optimized geometry

abc: 7.1645 7.1645 2.7737
angles: 90.00 90.00 90.00
Positions (direct):
Si 0.1550 0.3450 0.0000
Si 0.3450 0.8450 0.0000
Si 0.6550 0.1550 0.0000
Si 0.8450 0.6550 0.0000
Ir 0.1423 0.6423 0.5000
Ir 0.3577 0.1423 0.5000
Ir 0.6423 0.8577 0.5000
Ir 0.8577 0.3577 0.5000
Pt 0.0000 0.0000 0.5000
Pt 0.5000 0.5000 0.5000

Properties
* VASP energy: -7.3649 eV per atom
* DOS(E_F): 3.431 states/eV per cell
* density: 14.83 Mg/m³
* E_form (uncorrected): -443 meV/atom
* volume: 14.237 Å³/atom
* polymorph energy (0 for the lowest one): 0.128 eV per formula unit
* crystal system: tetragonal

***

Entry 3:
Material: SiIr2Pt
Method: DFT, PBE-GGA
State: optimized geometry

abc: 2.8075 2.8075 7.2362
angles: 90.00 90.00 90.00
Positions (direct):
Si 0.0000 0.0000 0.0000
Ir 0.0000 0.0000 0.4864
Ir 0.5000 0.5000 0.2127
Pt 0.5000 0.5000 0.7721

Properties
* VASP energy: -7.4491 eV per atom
* DOS(E_F): 3.942 states/eV per cell
* density: 17.69 Mg/m³
* E_form (uncorrected): -153 meV/atom
* volume: 14.259 Å³/atom
* crystal system: tetragonal

***

> Among the records above, which one has the highest volume?

SiIrPt2